Computed, not measured: an optimized crystal structure of Be2Cd2F7 at the PBE-GGA level of DFT.

Output
formation energy (no corrections) = -2.579 eV/atom
N(E_F) = 1.948 states/eV/f.u.
space-group type = C2/m, No. 12

Lattice parameters (Å, degrees): 4.8304 5.7788 5.7788 104.65 96.22 96.22
Last column: nearest neighbours and their distance in Å.
Sites, in units of the cell vectors:
Be (0.9174, 0.2065, 0.2065)  4 F 1.57-1.58
F (0.7372, 0.3694, 0.0881)  1 Be 1.58
Cd (0.5000, 0.3072, 0.6928)  6 F 2.36-2.45
F (0.1955, 0.3591, 0.3591)  1 Be 1.57
F (0.2628, 0.9119, 0.6306)  1 Be 1.58
Cd (0.5000, 0.6928, 0.3072)  6 F 2.36-2.45
Be (0.0826, 0.7935, 0.7935)  4 F 1.57-1.58
F (0.0000, 0.0000, 0.0000)  2 Be 1.58
F (0.7372, 0.0881, 0.3694)  1 Be 1.58
F (0.8045, 0.6409, 0.6409)  1 Be 1.57
F (0.2628, 0.6306, 0.9119)  1 Be 1.58



Computed, not measured: an optimized crystal structure of AsOs2Pb at the PBE-GGA level of DFT.

Output
offset from the most stable computed form = 0.324 eV/atom
N(E_F) = 2.445 states/eV/f.u.
space-group type = Imm2, No. 44

Lattice parameters (Å, degrees): 7.5313 7.5312 7.5313 155.70 155.47 34.80
Last column: nearest neighbours and their distance in Å.
Sites, in units of the cell vectors:
Pb (0.4474, 0.4474, 0.0000)  6 Os 2.88-2.91, 4 Pb 3.17-3.20
Os (0.7784, 0.2784, 0.5000)  4 As 2.51
Os (0.0723, 0.0723, 0.0000)  2 As 2.45
As (0.2019, 0.7019, 0.5000)  6 Os 2.45-2.51



Computed, not measured: an optimized crystal structure of SmTh4P5 at the PBE-GGA level of DFT.

Output
N(E_F) = 5.218 states/eV/f.u.
electronic total energy = -7.71 eV/atom
space-group type = I4/m, No. 87

Lattice parameters (Å, degrees): 5.8502 7.1635 7.1635 80.40 65.90 65.90
Last column: nearest neighbours and their distance in Å.
Sites, in units of the cell vectors:
P (0.3007, 0.8002, 0.6003)  5 Th 2.92-2.93, 1 Sm 2.92
P (0.7013, 0.1998, 0.3997)  5 Th 2.92-2.93, 1 Sm 2.92
P (0.9011, 0.3997, 0.8002)  5 Th 2.92-2.93, 1 Sm 2.92
Th (0.4005, 0.4002, 0.8009)  6 P 2.92-2.93
Sm (0.0011, 0.0000, 0.0000)  6 P 2.92-2.93
Th (0.2014, 0.1991, 0.4002)  6 P 2.92-2.93
Th (0.6016, 0.5998, 0.1991)  6 P 2.92-2.93
P (0.1009, 0.6003, 0.1998)  5 Th 2.92-2.93, 1 Sm 2.92
P (0.5010, 0.0000, 0.0000)  4 Th 2.92, 2 Sm 2.92-2.93
Th (0.8007, 0.8009, 0.5998)  6 P 2.92-2.93



Computed, not measured: an optimized crystal structure of Tl2CoSe at the PBE-GGA level of DFT.

Output
formation energy (no corrections) = 0.467 eV/atom
offset from the most stable computed form = 0.461 eV/atom
N(E_F) = 6.017 states/eV/f.u.
space-group type = I-42d, No. 122

Lattice parameters (Å, degrees): 5.8509 5.8509 8.2881 69.33 69.33 90.00
Last column: nearest neighbours and their distance in Å.
Sites, in units of the cell vectors:
Tl (0.1751, 0.6250, 0.2500)  2 Co 2.59
Co (0.5000, 0.5000, 0.0000)  4 Tl 2.59
Tl (0.3750, 0.4251, 0.7500)  2 Co 2.59
Tl (0.5749, 0.1250, 0.2500)  2 Co 2.59
Se (0.0000, 0.0000, 0.0000)  4 Tl 2.91
Co (0.2500, 0.7500, 0.5000)  4 Tl 2.59
Se (0.7500, 0.2500, 0.5000)  4 Tl 2.91
Tl (0.8750, 0.8249, 0.7500)  2 Co 2.59



Question: What is the N(E_F) in the fourth record?
Answer: 6.017 states/eV/f.u.